Record 1
DFT (GGA+U) results for crystalline InFe17O24 at its relaxed geometry.

Cell: 10.5352 10.5352 10.5352 Å, 146.78 131.65 59.92°
Each line ends with the local moment (μB).
Element x y z (fractional)
Fe 0.5770 0.0842 0.4928  4.37
Fe 0.9157 0.9154 0.4949  3.81
Fe 0.2533 0.2515 0.5047  0.11
O 0.3265 0.5994 0.2616  0.13
O 0.6822 0.4176 0.2646  0.26
O 0.1784 0.9207 0.2577  0.21
O 0.6622 0.4006 0.7271  0.13
Fe 0.9653 0.8342 0.1311  4.27
Fe 0.2498 0.7497 0.5002  -4.27
O 0.1634 0.4207 0.7427  0.21
Fe 0.9201 0.4161 0.5039  4.36
O 0.5136 0.2513 0.2622  0.10
O 0.8184 0.0910 0.7274  0.14
O 0.3265 0.0649 0.7271  0.13
Fe 0.4086 0.9158 0.4928  4.37
O 0.3220 0.5793 0.7427  0.21
O 0.4813 0.7490 0.7323  0.09
O 0.8471 0.5824 0.2646  0.26
Fe 0.0878 0.5839 0.5039  4.36
Fe 0.7505 0.2503 0.5002  -4.27
O 0.1675 0.4312 0.2663  0.14
O 0.8351 0.5688 0.7363  0.14
O 0.0109 0.7487 0.2622  0.10
O 0.4964 0.2322 0.7286  0.25
O 0.8351 0.0988 0.2663  0.14
Fe 0.5795 0.5792 0.4949  3.81
O 0.9833 0.2510 0.7323  0.09
O 0.3370 0.0793 0.2577  0.21
O 0.0143 0.2765 0.2909  0.16
Fe 0.6268 0.5000 0.1268  4.32
In 0.8696 0.0000 0.8696  0.05
O 0.0143 0.7235 0.7378  0.16
O 0.4964 0.7678 0.2642  0.25
Fe 0.2969 0.1658 0.1311  4.27
O 0.6363 0.9090 0.7274  0.14
O 0.1675 0.9012 0.7363  0.14
Fe 0.2011 0.3342 0.8669  4.26
Fe 0.2533 0.7485 0.0018  0.11
Fe 0.9157 0.4208 0.0003  3.81
O 0.6622 0.9351 0.2616  0.13
Fe 0.5795 0.0846 0.0003  3.81
Fe 0.5328 0.6658 0.8669  4.26

## Properties
- magnetization (μB per atom) = 1.2147
- crystal system = orthorhombic
- SG = Imm2
- calculated density (g cm⁻³) = 5.07
- final energy (eV/cell) = -275.158

---

Record 2
DFT (GGA+U) results for crystalline ScMoPb2O6 at its relaxed geometry.

Cell: 5.7291 5.7641 8.2939 Å, 90.00 89.77 90.00°
Each line ends with the local moment (μB).
Element x y z (fractional)
Pb 0.0090 0.0284 0.7402  0.00
O 0.2984 0.7306 0.4788  -0.03
O 0.2891 0.7053 0.0182  0.01
Pb 0.9910 0.9716 0.2598  0.00
O 0.7984 0.7694 0.9788  -0.03
Mo 0.5000 0.0000 0.5000  0.96
Mo 0.0000 0.5000 0.0000  0.96
O 0.7109 0.2947 0.9818  0.01
O 0.2109 0.2053 0.4818  0.01
O 0.5489 0.0129 0.2542  0.01
O 0.7891 0.7947 0.5182  0.01
Pb 0.5090 0.4716 0.2402  0.00
Pb 0.4910 0.5284 0.7598  0.00
Sc 0.5000 0.0000 0.0000  0.01
O 0.2016 0.2306 0.0212  -0.03
O 0.9511 0.5129 0.2458  0.01
O 0.4511 0.9871 0.7458  0.01
O 0.0489 0.4871 0.7542  0.01
Sc 0.0000 0.5000 0.5000  0.01
O 0.7016 0.2694 0.5212  -0.03

## Properties
- magnetization (μB per atom) = 0.1000
- crystal system = monoclinic
- SG = P2_1/c
- calculated density (g cm⁻³) = 7.90
- final energy (eV/cell) = -139.657